DFT (PBE) results for a relaxed LaMg2NiAg crystal.

## Properties
The value obtained for the mass density is 4.69 g/cm3. The calculation puts the formation energy at -112.8 meV/atom.

Unit cell a=4.9549 b=4.9549 c=5.1019 alpha=90.00 beta=90.00 gamma=90.00
Space group P4/mmm (No. 123)
Asymmetric unit:
La (0.0000, 0.0000, 0.0000) [1 per cell]
Mg (0.0000, 0.5000, 0.5000) [2 per cell]
Ni (0.0000, 0.0000, 0.5000) [1 per cell]
Ag (0.5000, 0.5000, 0.0000) [1 per cell]

***

DFT (PBE) results for a relaxed La2MgAgO crystal.

## Properties
For the raw formation energy, the calculation gives -1135.1 meV/atom. The value obtained for the mass density is 6.16 g/cm3.

Unit cell a=5.0880 b=5.0880 c=4.4323 alpha=90.00 beta=90.00 gamma=90.00
Space group P4/mmm (No. 123)
Asymmetric unit:
La (0.0000, 0.5000, 0.0000) [2 per cell]
Mg (0.0000, 0.0000, 0.5000) [1 per cell]
Ag (0.5000, 0.5000, 0.5000) [1 per cell]
O (0.0000, 0.0000, 0.0000) [1 per cell]

***

DFT (PBE) results for a relaxed La2MgAgOs crystal.

## Properties
The value obtained for the mass density is 6.47 g/cm3. The calculation puts the formation energy at -18.8 meV/atom.

Unit cell a=5.4595 b=5.4595 c=5.1645 alpha=90.00 beta=90.00 gamma=90.00
Space group P4/mmm (No. 123)
Asymmetric unit:
La (0.0000, 0.5000, 0.0000) [2 per cell]
Mg (0.0000, 0.0000, 0.5000) [1 per cell]
Ag (0.5000, 0.5000, 0.5000) [1 per cell]
Os (0.0000, 0.0000, 0.0000) [1 per cell]

***

DFT (PBE) results for a relaxed LaMgAg2Pb crystal.

## Properties
The value obtained for the mass density is 7.12 g/cm3. The calculation puts the formation energy at 40.2 meV/atom.

Unit cell a=5.0053 b=5.0053 c=5.4538 alpha=90.00 beta=90.00 gamma=90.00
Space group P4/mmm (No. 123)
Asymmetric unit:
La (0.0000, 0.0000, 0.0000) [1 per cell]
Mg (0.5000, 0.5000, 0.5000) [1 per cell]
Ag (0.0000, 0.5000, 0.5000) [2 per cell]
Pb (0.5000, 0.5000, 0.0000) [1 per cell]

***

DFT (PBE) results for a relaxed LaMgAgPb crystal.

## Properties
The value obtained for the mass density is 7.56 g/cm3. The calculation puts the formation energy at -346.2 meV/atom.

Unit cell a=7.4897 b=7.4897 c=7.4897 alpha=90.00 beta=90.00 gamma=90.00
Space group F-43m (No. 216)
Asymmetric unit:
La (0.0000, 0.0000, 0.0000) [4 per cell]
Mg (0.0000, 0.0000, 0.5000) [4 per cell]
Ag (0.2500, 0.2500, 0.7500) [4 per cell]
Pb (0.2500, 0.2500, 0.2500) [4 per cell]

***

DFT (PBE) results for a relaxed LaMg2Ag2Pb2 crystal.

## Properties
The value obtained for the mass density is 7.93 g/cm3. The calculation puts the formation energy at -282.1 meV/atom.

Unit cell a=4.7694 b=4.7694 c=26.0883 alpha=90.00 beta=90.00 gamma=120.00
Space group R-3m (No. 166, hexagonal axes)
Asymmetric unit:
La (0.0000, 0.0000, 0.0000) [3 per cell]
Mg (0.0000, 0.0000, 0.1392) [6 per cell]
Ag (0.0000, 0.0000, 0.4443) [6 per cell]
Pb (0.0000, 0.0000, 0.2632) [6 per cell]

***

DFT (PBE) results for a relaxed LaPmMgAg crystal.

## Properties
The value obtained for the mass density is 6.05 g/cm3. For the distance to the lowest polymorph of the same formula, the calculation gives 0.0494 eV per atom. The calculation puts the formation energy at -135.2 meV/atom.

Unit cell a=7.7034 b=7.7034 c=7.7034 alpha=90.00 beta=90.00 gamma=90.00
Space group F-43m (No. 216)
Asymmetric unit:
La (0.0000, 0.0000, 0.0000) [4 per cell]
Pm (0.0000, 0.0000, 0.5000) [4 per cell]
Mg (0.2500, 0.2500, 0.7500) [4 per cell]
Ag (0.2500, 0.2500, 0.2500) [4 per cell]

***

DFT (PBE) results for a relaxed LaPmMgAg crystal.

## Properties
The value obtained for the mass density is 6.10 g/cm3. For the distance to the lowest polymorph of the same formula, the calculation gives 0.0000 eV per atom. The calculation puts the formation energy at -184.7 meV/atom.

Unit cell a=3.8741 b=3.8741 c=7.5421 alpha=90.00 beta=90.00 gamma=90.00
Space group P4mm (No. 99)
Asymmetric unit:
La (0.0000, 0.0000, 0.0000) [1 per cell]
Pm (0.0000, 0.0000, 0.5170) [1 per cell]
Mg (0.5000, 0.5000, 0.2678) [1 per cell]
Ag (0.5000, 0.5000, 0.7436) [1 per cell]

***

DFT (PBE) results for a relaxed LaMg2ScAg4 crystal.

## Properties
The value obtained for the mass density is 6.34 g/cm3. The calculation puts the formation energy at -265.0 meV/atom.

Unit cell a=4.8716 b=4.8716 c=25.3937 alpha=90.00 beta=90.00 gamma=120.00
Space group R-3m (No. 166, hexagonal axes)
Asymmetric unit:
La (0.0000, 0.0000, 0.0000) [3 per cell]
Mg (0.0000, 0.0000, 0.2433) [6 per cell]
Sc (0.0000, 0.0000, 0.5000) [3 per cell]
Ag (0.0000, 0.0000, 0.1280) [6 per cell]
Ag (0.0000, 0.0000, 0.3899) [6 per cell]

***

DFT (PBE) results for a relaxed LaMgSiAg crystal.

## Properties
For the raw formation energy, the calculation gives -323.1 meV/atom. The value obtained for the mass density is 5.50 g/cm3.

Unit cell a=7.1230 b=7.1230 c=7.1230 alpha=90.00 beta=90.00 gamma=90.00
Space group F-43m (No. 216)
Asymmetric unit:
La (0.0000, 0.0000, 0.0000) [4 per cell]
Mg (0.0000, 0.0000, 0.5000) [4 per cell]
Si (0.2500, 0.2500, 0.2500) [4 per cell]
Ag (0.2500, 0.2500, 0.7500) [4 per cell]

***

DFT (PBE) results for a relaxed La2MgAg3Sn4 crystal.

## Properties
The value obtained for the mass density is 7.20 g/cm3. The calculation puts the formation energy at -452.7 meV/atom.

Unit cell a=4.5729 b=4.5729 c=12.1359 alpha=90.00 beta=90.00 gamma=90.00
Space group P-4m2 (No. 115)
Asymmetric unit:
La (0.0000, 0.5000, 0.2490) [2 per cell]
Mg (0.0000, 0.0000, 0.5000) [1 per cell]
Ag (0.0000, 0.5000, 0.8611) [2 per cell]
Ag (0.5000, 0.5000, 0.5000) [1 per cell]
Sn (0.0000, 0.0000, 0.0000) [1 per cell]
Sn (0.0000, 0.5000, 0.6414) [2 per cell]
Sn (0.5000, 0.5000, 0.0000) [1 per cell]

***

DFT (PBE) results for a relaxed LaMgAgSn2 crystal.

## Properties
The value obtained for the mass density is 6.53 g/cm3. The calculation puts the formation energy at -454.3 meV/atom.

Unit cell a=4.5233 b=4.5233 c=12.6348 alpha=90.00 beta=90.00 gamma=90.00
Space group I-4m2 (No. 119)
Asymmetric unit:
La (0.0000, 0.0000, 0.0000) [2 per cell]
Mg (0.0000, 0.5000, 0.2500) [2 per cell]
Ag (0.0000, 0.5000, 0.7500) [2 per cell]
Sn (0.0000, 0.0000, 0.3876) [4 per cell]

***

What did the first record say?
DFT (PBE) results for a relaxed LaMg2NiAg crystal.

## Properties
The value obtained for the mass density is 4.69 g/cm3. The calculation puts the formation energy at -112.8 meV/atom.

Unit cell a=4.9549 b=4.9549 c=5.1019 alpha=90.00 beta=90.00 gamma=90.00
Space group P4/mmm (No. 123)
Asymmetric unit:
La (0.0000, 0.0000, 0.0000) [1 per cell]
Mg (0.0000, 0.5000, 0.5000) [2 per cell]
Ni (0.0000, 0.0000, 0.5000) [1 per cell]
Ag (0.5000, 0.5000, 0.0000) [1 per cell]